Version a
Entry from the Alexandria database: an optimized crystal structure of InFe2Te (PBE-GGA).

Values from the calculation:
V: 71.4 Å³/cell

Cell: 8.298 8.298 8.298 Å, 22.19 22.19 22.19°
Each line ends with the local moment (μB).
Fractional coordinates of all 4 atoms:
Fe  0.003  0.003  0.003  2.33
Fe  0.497  0.497  0.497  2.33
In  0.250  0.250  0.250  -0.07
Te  0.750  0.750  0.750  -0.05

Version b
Entry from the Alexandria database: an optimized crystal structure of InFe2Te (PBE-GGA).

Values from the calculation:
V: 82.9 Å³/cell

Cell: 4.295 4.295 6.625 Å, 73.93 73.93 45.35°
Each line ends with the local moment (μB).
Fractional coordinates of all 4 atoms:
Fe  0.007  0.007  0.945  2.35
Fe  0.741  0.741  0.821  2.35
In  0.506  0.506  0.589  -0.05
Te  0.246  0.246  0.146  -0.04

What should be chosen as the most stable of them? Choose version b.

Version a
Entry from the Alexandria database: an optimized crystal structure of InFe2Te (PBE-GGA).

Values from the calculation:
V: 77.3 Å³/cell

Cell: 6.341 6.341 6.341 Å, 152.17 139.31 50.02°
Each line ends with the local moment (μB).
Fractional coordinates of all 4 atoms:
Fe  0.998  0.998  0.000  2.11
Fe  0.830  0.330  0.500  2.76
In  0.473  0.473  0.000  -0.09
Te  0.199  0.699  0.500  0.00

Version b
Entry from the Alexandria database: an optimized crystal structure of InFe2Te (PBE-GGA).

Values from the calculation:
V: 72.9 Å³/cell

Cell: 4.012 3.655 5.297 Å, 69.72 90.00 90.00°
Each line ends with the local moment (μB).
Fractional coordinates of all 4 atoms:
Fe  0.000  0.194  0.986  2.40
Fe  0.500  0.057  0.260  2.51
In  0.000  0.478  0.418  -0.10
Te  0.500  0.770  0.836  0.01

What should be chosen as the most stable of them? Choose version b.